VASP calculation (SCAN) on Sr2Mg at its PBEsol-relaxed geometry.

Geometry as extended XYZ:
```
9
Lattice="-3.9796 -0.3260 -3.2497 3.4660 -7.8914 -3.4530 -5.8575 -0.2606 7.1994" Properties=species:S:1:pos:R:3 pbc="T T T"
Mg -1.6317 -5.5108 -1.5270
Sr -1.4155 -4.8249 2.2174
Sr -6.3588 -0.3573 3.7450
Mg 0.0000 0.0000 0.0000
Sr -2.3907 -0.1064 2.9383
Sr 0.5954 -6.0490 -4.2003
Sr 1.4146 -3.2208 -1.4093
Sr -2.5976 -2.2346 -0.6728
Mg -4.7395 -2.9672 2.0238
```

The energy of formation is 0.0132 eV/atom. The space group is P-62m (189).



VASP calculation (SCAN) on ZnRuCl2 at its PBEsol-relaxed geometry.

Geometry as extended XYZ:
```
4
Lattice="3.2719 -0.0116 -0.0182 -1.5322 4.6769 -0.0032 -1.5322 -1.9768 4.2386" Properties=species:S:1:pos:R:3 pbc="T T T"
Ru 0.0000 0.0000 0.0000
Cl -0.7661 2.3384 -0.0016
Zn -1.5322 1.3501 2.1177
Cl -0.7661 -0.9884 2.1193
```

The space group is C2/m (12). For the uncorrected formation energy, the calculation gives 314 meV/atom. The value obtained for the energy above the most stable polymorph in this dataset is 555 meV/atom.



VASP calculation (SCAN) on KCu2GeS4 at its PBEsol-relaxed geometry.

Geometry as extended XYZ:
```
8
Lattice="-0.5111 -1.1765 -5.8614 5.3925 -0.7405 2.5245 -2.7873 -3.6842 3.8286" Properties=species:S:1:pos:R:3 pbc="T T T"
S -0.1064 -0.6459 -2.1250
S 4.1655 -2.0596 3.8278
Cu -0.9979 -3.5365 0.5719
S -0.7076 -3.8133 4.6047
K 1.3026 -2.2123 3.1765
Cu 3.0920 -2.0647 -0.0802
Ge 0.0000 0.0000 0.0000
S 1.3478 -3.5071 0.5374
```

The space group is I-42m (121). For the uncorrected formation energy, the calculation gives -545 meV/atom.



VASP calculation (SCAN) on NaSbC3 at its PBEsol-relaxed geometry.

Geometry as extended XYZ:
```
5
Lattice="4.2945 0.0000 0.0000 0.0000 4.2945 0.0000 0.0000 0.0000 4.2945" Properties=species:S:1:pos:R:3 pbc="T T T"
Na 2.1472 2.1472 2.1472
C 0.0000 0.0000 2.1472
C 2.1472 0.0000 0.0000
C 0.0000 2.1472 0.0000
Sb 0.0000 0.0000 0.0000
```

The space group is Pm-3m (221). For the uncorrected formation energy, the calculation gives 2643 meV/atom.



VASP calculation (SCAN) on Mg2POs at its PBEsol-relaxed geometry.

Geometry as extended XYZ:
```
8
Lattice="-2.9549 2.3413 2.2475 -4.3610 -3.9444 2.6611 1.9619 0.7291 6.1055" Properties=species:S:1:pos:R:3 pbc="T T T"
Mg -0.6543 -0.2873 6.9390
Mg -3.9610 -1.1721 3.5133
Mg -0.8818 0.6847 3.4845
P -1.4774 1.1707 1.1238
P -1.9383 -1.0223 4.9452
Os -3.4157 0.1483 6.0690
Mg -5.2109 -0.9734 8.0915
Os 0.0000 0.0000 0.0000
```

The energy of formation is 0.2860 eV/atom. The space group is I-42d (122).



VASP calculation (SCAN) on SrAlAs3 at its PBEsol-relaxed geometry.

Geometry as extended XYZ:
```
5
Lattice="-0.8526 4.6079 1.4689 -4.7938 -1.0025 0.3624 0.6399 -1.3709 4.6720" Properties=species:S:1:pos:R:3 pbc="T T T"
Sr -2.5033 1.1172 3.2516
Al 0.0000 0.0000 0.0000
As 0.3199 -0.6855 2.3360
As -0.4263 2.3039 0.7344
As -2.3969 -0.5013 0.1812
```

The energy of formation is -0.2278 eV/atom. The space group is Pm-3m (221).



VASP calculation (SCAN) on MnRe3 at its PBEsol-relaxed geometry.

Geometry as extended XYZ:
```
4
Lattice="3.8038 0.0000 0.0000 0.0000 3.8038 0.0000 0.0000 0.0000 3.8038" Properties=species:S:1:pos:R:3 pbc="T T T"
Re 1.9019 1.9019 0.0000
Re 0.0000 1.9019 1.9019
Re 1.9019 0.0000 1.9019
Mn 0.0000 0.0000 0.0000
```

The energy of formation is 0.0077 eV/atom. The space group is Pm-3m (221).



VASP calculation (SCAN) on Li2Ta at its PBEsol-relaxed geometry.

Geometry as extended XYZ:
```
3
Lattice="-0.2361 1.3840 -2.1414 -4.0200 -2.1357 -0.9370 0.0247 3.9045 2.5207" Properties=species:S:1:pos:R:3 pbc="T T T"
Li -1.4416 2.5831 0.2975
Li -2.7899 0.5697 -0.8551
Ta 0.0000 0.0000 0.0000
```

The energy of formation is 0.5817 eV/atom. The space group is P6/mmm (191). The value obtained for the energy above the most stable polymorph in this dataset is 183 meV/atom.



VASP calculation (SCAN) on LaO3 at its PBEsol-relaxed geometry.

Geometry as extended XYZ:
```
8
Lattice="4.4903 0.0000 0.0000 0.0000 5.3656 0.0000 0.0000 -2.6828 4.6467" Properties=species:S:1:pos:R:3 pbc="T T T"
O 1.1226 3.8374 1.1475
O 3.3677 -1.1546 3.4992
O 3.3677 0.9249 3.8970
O 1.1226 1.7579 0.7497
O 3.3677 0.2297 1.8972
La 3.3677 2.6828 1.5489
O 1.1226 2.4531 2.7495
La 1.1226 0.0000 3.0978
```

The space group is P6_3/m (176). For the uncorrected formation energy, the calculation gives -1783 meV/atom.



VASP calculation (SCAN) on TmInRh2 at its PBEsol-relaxed geometry.

Geometry as extended XYZ:
```
4
Lattice="-3.8970 -0.2566 -2.4029 0.1328 -0.0725 -4.5830 -1.0488 -3.8475 -2.2635" Properties=species:S:1:pos:R:3 pbc="T T T"
In 0.0000 0.0000 0.0000
Tm -2.4065 -2.0883 -4.6247
Rh -3.6097 -3.1324 -6.9370
Rh -1.2032 -1.0441 -2.3123
```

The energy of formation is -0.9087 eV/atom. The space group is Fm-3m (225).



VASP calculation (SCAN) on SiBPd2 at its PBEsol-relaxed geometry.

Geometry as extended XYZ:
```
4
Lattice="-1.7729 -3.6203 -0.6501 0.3546 -2.9745 2.7747 -3.2387 -1.1156 2.2222" Properties=species:S:1:pos:R:3 pbc="T T T"
B 0.0000 0.0000 0.0000
Pd -3.4927 -5.7828 3.2601
Si -2.3285 -3.8552 2.1734
Pd -1.1642 -1.9276 1.0867
```

The space group is Fm-3m (225). For the uncorrected formation energy, the calculation gives 160 meV/atom.



VASP calculation (SCAN) on CaHg2Br at its PBEsol-relaxed geometry.

Geometry as extended XYZ:
```
4
Lattice="-3.7125 -0.9041 1.2461 2.0409 -3.8913 3.2571 -0.4552 4.9659 2.2469" Properties=species:S:1:pos:R:3 pbc="T T T"
Br -1.8563 -0.4521 0.6230
Ca -1.0634 0.0852 3.3750
Hg -0.2276 2.4829 1.1235
Hg 1.0204 -1.9456 1.6285
```

The space group is Cmmm (65). For the uncorrected formation energy, the calculation gives -772 meV/atom. The value obtained for the energy above the most stable polymorph in this dataset is 0 meV/atom.



VASP calculation (SCAN) on Sn3Bi at its PBEsol-relaxed geometry.

Geometry as extended XYZ:
```
4
Lattice="-4.6262 -0.3139 -0.4938 -0.1580 -3.1186 3.4632 1.7825 5.4518 1.8513" Properties=species:S:1:pos:R:3 pbc="T T T"
Bi 0.0000 0.0000 0.0000
Sn -2.3921 -1.7163 1.4847
Sn -2.6179 1.7108 1.4211
Sn -0.3838 0.3085 3.3996
```

The energy of formation is 0.2326 eV/atom. The space group is I4/mmm (139).



VASP calculation (SCAN) on BeCrRu3 at its PBEsol-relaxed geometry.

Geometry as extended XYZ:
```
5
Lattice="-1.0453 -3.2904 2.0052 3.6072 -0.1051 1.7079 -1.3547 2.2589 3.0004" Properties=species:S:1:pos:R:3 pbc="T T T"
Ru 1.8036 -0.0526 0.8539
Cr 0.6036 -0.5683 3.3567
Ru -0.5226 -1.6452 1.0026
Ru -0.6774 1.1294 1.5002
Be 0.0000 0.0000 0.0000
```

The energy of formation is 0.4258 eV/atom. The space group is Pm-3m (221).



VASP calculation (SCAN) on NdCuSn at its PBEsol-relaxed geometry.

Geometry as extended XYZ:
```
6
Lattice="4.5023 0.0000 0.0000 -2.2512 3.8991 0.0000 0.0000 0.0000 7.7470" Properties=species:S:1:pos:R:3 pbc="T T T"
Sn 0.0000 2.5994 5.8103
Sn 2.2512 1.2997 1.9368
Cu 2.2512 1.2997 5.8103
Cu 0.0000 2.5994 1.9368
Nd 0.0000 0.0000 0.0000
Nd 0.0000 0.0000 3.8735
```

The energy of formation is -0.6840 eV/atom. The space group is P6_3/mmc (194).



VASP calculation (SCAN) on AlIn3 at its PBEsol-relaxed geometry.

Geometry as extended XYZ:
```
4
Lattice="-0.2301 -3.0580 0.8356 5.1169 0.1985 2.1357 -3.5918 1.3641 4.0028" Properties=species:S:1:pos:R:3 pbc="T T T"
In 0.7626 0.7813 3.0692
In 2.4434 -1.4297 1.4856
In -1.9109 -0.8470 2.4192
Al 0.0000 0.0000 0.0000
```

The energy of formation is 0.1604 eV/atom. The space group is Cmmm (65).



VASP calculation (SCAN) on YB2Cl at its PBEsol-relaxed geometry.

Geometry as extended XYZ:
```
4
Lattice="4.4341 0.0000 0.0000 2.2170 3.8400 0.0000 2.2170 1.2800 3.6204" Properties=species:S:1:pos:R:3 pbc="T T T"
Cl 0.0000 0.0000 0.0000
Y 4.4341 2.5600 1.8102
B 6.6511 3.8400 2.7153
B 2.2170 1.2800 0.9051
```

The space group is Fm-3m (225). For the uncorrected formation energy, the calculation gives 1213 meV/atom.



VASP calculation (SCAN) on CaTcH3 at its PBEsol-relaxed geometry.

Geometry as extended XYZ:
```
5
Lattice="3.5926 0.0000 0.0000 0.0000 3.5926 0.0000 0.0000 0.0000 3.5926" Properties=species:S:1:pos:R:3 pbc="T T T"
Ca 1.7963 1.7963 1.7963
H 0.0000 1.7963 0.0000
H 0.0000 0.0000 1.7963
Tc 0.0000 0.0000 0.0000
H 1.7963 0.0000 0.0000
```

The space group is Pm-3m (221). The calculation puts the total energy at -11.422 eV per atom.



VASP calculation (SCAN) on NiSbOs2 at its PBEsol-relaxed geometry.

Geometry as extended XYZ:
```
4
Lattice="-2.9258 1.7334 1.8799 -2.4212 -0.9592 -2.8838 1.8613 -3.6881 2.2818" Properties=species:S:1:pos:R:3 pbc="T T T"
Ni -1.6167 -2.1301 -0.5520
Os -1.8690 -0.7838 1.8299
Os 0.0000 0.0000 0.0000
Sb -2.6735 0.3871 -0.5020
```

The space group is I-4m2 (119). For the uncorrected formation energy, the calculation gives 474 meV/atom.



VASP calculation (SCAN) on Sr2CoP at its PBEsol-relaxed geometry.

Geometry as extended XYZ:
```
4
Lattice="4.3329 0.0000 0.0000 0.0000 4.3329 0.0000 0.0000 0.0000 6.1010" Properties=species:S:1:pos:R:3 pbc="T T T"
Sr 0.0000 0.0000 5.3388
Sr 2.1664 2.1664 2.2871
Co 0.0000 0.0000 2.2896
P 2.1664 2.1664 5.3369
```

The energy of formation is -0.0474 eV/atom. The space group is P4/mmm (123).